## Pb2Se2I (PBE-GGA)

Data for an optimized crystal structure of Pb2Se2I.

Cell and atoms, written as POSCAR:
```
Pb2Se2I
1.0
-2.077 -1.113 -8.452
2.064 -8.506 0.613
-3.602 -0.803 0.991
Pb Se I
4 4 2
Cartesian
-0.391 -6.534 -6.713 Pb
-1.041 -2.077 -5.464 Pb
0.378 -3.085 -1.126 Pb
1.027 -7.543 -2.374 Pb
-2.285 -1.947 -2.517 Se
-1.330 -8.474 -4.330 Se
-0.771 -5.942 -0.247 Se
-2.844 -4.480 -6.600 Se
-0.007 -4.810 -3.919 I
0.000 0.000 0.000 I
```

Results
- relative energy among the computed polymorphs (meV/atom) = 78
- space-group type = P4/mbm (127)
- VASP energy (eV/atom) = -3.49
- DOS(E_F) (states/eV per cell) = 5.5
- E_form (uncorrected) (eV/atom) = -0.30

---

## Pb2SeI2 (PBE-GGA)

Data for an optimized crystal structure of Pb2SeI2.

Cell and atoms, written as POSCAR:
```
Pb2SeI2
1.0
8.386 0.000 0.000
0.000 8.056 0.000
0.000 0.000 11.936
Se Pb I
4 8 8
Cartesian
0.269 2.014 0.000 Se
8.117 6.042 0.000 Se
4.461 2.014 5.968 Se
3.924 6.042 5.968 Se
5.989 7.813 4.859 Pb
2.397 3.785 4.859 Pb
1.796 4.271 10.827 Pb
6.590 3.785 1.110 Pb
1.796 7.813 1.110 Pb
6.590 0.243 10.827 Pb
2.397 0.243 7.078 Pb
5.989 4.271 7.078 Pb
5.125 0.726 1.806 I
5.125 3.302 10.130 I
0.932 0.726 4.162 I
7.454 4.754 4.162 I
3.261 7.330 10.130 I
7.454 7.330 7.774 I
3.261 4.754 1.806 I
0.932 3.302 7.774 I
```

Results
- relative energy among the computed polymorphs (meV/atom) = 0
- space-group type = Pbcn (60)
- VASP energy (eV/atom) = -3.37
- DOS(E_F) (states/eV per cell) = 0.0
- E_form (uncorrected) (eV/atom) = -0.57

---

## Pb2Se2I (PBE-GGA)

Data for an optimized crystal structure of Pb2Se2I.

Cell and atoms, written as POSCAR:
```
Pb2Se2I
1.0
4.715 0.000 0.000
0.000 4.715 0.000
2.358 2.358 7.433
Pb Se I
2 2 1
Cartesian
4.715 4.715 5.534 Pb
2.358 2.358 1.900 Pb
4.715 2.358 3.717 Se
2.358 4.715 3.717 Se
0.000 0.000 0.000 I
```

Results
- relative energy among the computed polymorphs (meV/atom) = 0
- space-group type = I4/mmm (139)
- VASP energy (eV/atom) = -3.56
- DOS(E_F) (states/eV per cell) = 2.1
- E_form (uncorrected) (eV/atom) = -0.38

---

## PbSe2I (PBE-GGA)

Data for an optimized crystal structure of PbSe2I.

Cell and atoms, written as POSCAR:
```
PbSe2I
1.0
2.591 0.000 8.514
-1.295 2.244 8.514
-1.295 -2.244 8.514
Pb I Se
1 1 2
Cartesian
0.000 0.000 12.771 Pb
0.000 0.000 0.000 I
0.000 0.000 2.731 Se
0.000 0.000 22.811 Se
```

Results
- relative energy among the computed polymorphs (meV/atom) = 0
- space-group type = R-3m (166)
- VASP energy (eV/atom) = -3.18
- DOS(E_F) (states/eV per cell) = 2.9
- E_form (uncorrected) (eV/atom) = -0.13

---

## Pb2SeI2 (PBE-GGA)

Data for an optimized crystal structure of Pb2SeI2.

Cell and atoms, written as POSCAR:
```
Pb2SeI2
1.0
8.315 0.000 0.000
0.000 8.315 0.000
0.000 0.000 5.037
Se Pb I
2 4 4
Cartesian
4.158 4.158 0.000 Se
0.000 0.000 0.000 Se
6.833 5.640 0.000 Pb
5.640 1.483 0.000 Pb
1.483 2.675 0.000 Pb
2.675 6.833 0.000 Pb
7.021 2.864 2.518 I
1.294 5.452 2.518 I
2.864 1.294 2.518 I
5.452 7.021 2.518 I
```

Results
- relative energy among the computed polymorphs (meV/atom) = 216
- space-group type = P4/mbm (127)
- VASP energy (eV/atom) = -3.16
- DOS(E_F) (states/eV per cell) = 1.9
- E_form (uncorrected) (eV/atom) = -0.36

---

## PbSe2I (PBE-GGA)

Data for an optimized crystal structure of PbSe2I.

Cell and atoms, written as POSCAR:
```
PbSe2I
1.0
3.985 -2.803 -2.187
0.154 -5.309 0.564
-0.949 -3.160 -4.199
Se Pb I
2 1 1
Cartesian
0.798 -2.818 -1.456 Se
2.393 -8.454 -4.367 Se
1.595 -5.636 -2.911 Pb
0.000 0.000 0.000 I
```

Results
- relative energy among the computed polymorphs (meV/atom) = 374
- space-group type = Fm-3m (225)
- VASP energy (eV/atom) = -2.81
- DOS(E_F) (states/eV per cell) = 4.5
- E_form (uncorrected) (eV/atom) = 0.25

---

## SnPbSeI2 (PBE-GGA)

Data for an optimized crystal structure of SnPbSeI2.

Cell and atoms, written as POSCAR:
```
SnPbSeI2
1.0
-2.265 0.121 -3.839
6.642 -4.126 -1.459
-5.175 -9.306 2.761
I Sn Pb Se
4 2 2 2
Cartesian
1.617 -6.990 -1.174 I
-2.414 -6.321 -1.364 I
-4.398 -9.889 -0.306 I
3.601 -3.422 -2.232 I
-2.587 -4.653 1.380 Sn
0.000 0.000 0.000 Sn
-0.312 -3.827 -2.526 Pb
-0.486 -9.485 -0.011 Pb
-0.494 -2.917 0.199 Se
-0.304 -10.395 -2.737 Se
```

Results
- space-group type = Cmcm (63)
- VASP energy (eV/atom) = -3.36
- E_form (uncorrected) (eV/atom) = -0.50

---

## SrPbSeI2 (PBE-GGA)

Data for an optimized crystal structure of SrPbSeI2.

Cell and atoms, written as POSCAR:
```
SrPbSeI2
1.0
4.670 0.000 0.000
-2.335 7.517 0.000
0.000 0.000 10.855
I Pb Se Sr
4 2 2 2
Cartesian
2.335 2.254 6.136 I
0.000 5.262 4.719 I
2.335 2.254 10.147 I
0.000 5.262 0.708 I
0.000 0.000 5.427 Pb
0.000 0.000 0.000 Pb
0.000 1.292 2.714 Se
2.335 6.225 8.141 Se
2.335 3.169 2.714 Sr
0.000 4.348 8.141 Sr
```

Results
- space-group type = Cmcm (63)
- VASP energy (eV/atom) = -3.53
- E_form (uncorrected) (eV/atom) = -1.13

---

## TePbSeI2 (PBE-GGA)

Data for an optimized crystal structure of TePbSeI2.

Cell and atoms, written as POSCAR:
```
TePbSeI2
1.0
-4.065 3.990 0.860
-4.006 -4.133 0.237
0.770 -0.425 5.615
Te I Se Pb
1 2 1 1
Cartesian
0.385 -0.212 2.808 Te
-2.033 1.995 0.430 I
-2.003 -2.066 0.118 I
0.000 0.000 0.000 Se
-3.651 -0.284 3.356 Pb
```

Results
- relative energy among the computed polymorphs (meV/atom) = 0
- space-group type = P4/mmm (123)
- VASP energy (eV/atom) = -2.52
- DOS(E_F) (states/eV per cell) = 4.9
- E_form (uncorrected) (eV/atom) = 0.17

---

## TePbSeI2 (PBE-GGA)

Data for an optimized crystal structure of TePbSeI2.

Cell and atoms, written as POSCAR:
```
TePbSeI2
1.0
6.219 0.000 0.000
0.000 6.219 0.000
0.000 0.000 6.101
Se I Pb Te
1 2 1 1
Cartesian
3.109 3.109 3.050 Se
3.109 0.000 0.000 I
0.000 3.109 0.000 I
0.000 0.000 0.000 Pb
0.000 0.000 3.050 Te
```

Results
- relative energy among the computed polymorphs (meV/atom) = 294
- space-group type = P4/mmm (123)
- VASP energy (eV/atom) = -2.22
- DOS(E_F) (states/eV per cell) = 4.4
- E_form (uncorrected) (eV/atom) = 0.46

---

Repeat the first record exactly.
## Pb2Se2I (PBE-GGA)

Data for an optimized crystal structure of Pb2Se2I.

Cell and atoms, written as POSCAR:
```
Pb2Se2I
1.0
-2.077 -1.113 -8.452
2.064 -8.506 0.613
-3.602 -0.803 0.991
Pb Se I
4 4 2
Cartesian
-0.391 -6.534 -6.713 Pb
-1.041 -2.077 -5.464 Pb
0.378 -3.085 -1.126 Pb
1.027 -7.543 -2.374 Pb
-2.285 -1.947 -2.517 Se
-1.330 -8.474 -4.330 Se
-0.771 -5.942 -0.247 Se
-2.844 -4.480 -6.600 Se
-0.007 -4.810 -3.919 I
0.000 0.000 0.000 I
```

Results
- relative energy among the computed polymorphs (meV/atom) = 78
- space-group type = P4/mbm (127)
- VASP energy (eV/atom) = -3.49
- DOS(E_F) (states/eV per cell) = 5.5
- E_form (uncorrected) (eV/atom) = -0.30